1.
11
Lattice="6.779 -0.005 0.056 -3.355 5.891 0.056 -1.227 -2.108 7.546" Properties=species:S:1:pos:R:3 comment="PBE Tb2HfTl2S6, relaxed" total_energy_ev_per_cell=-65.4 magmom_total_mub_per_cell=0.00 sg=C2/m raw_formation_energy_ev_per_fu=-16.70 pbc="T T T"
S 3.873 3.004 2.409
S 0.697 4.852 2.409
S 1.500 -1.075 5.249
S -1.676 0.773 5.249
S 1.735 2.983 5.320
S 0.462 0.795 2.337
Tb 2.791 0.905 3.829
Tb -0.593 2.873 3.829
Tl 5.060 0.995 0.056
Tl -1.636 4.891 0.056
Hf -0.613 -1.054 3.773


2.
8
Lattice="7.580 0.000 0.000 0.000 7.580 0.000 3.790 3.790 5.394" Properties=species:S:1:pos:R:3 comment="PBE NaSc2Mo, relaxed" total_energy_ev_per_cell=-40.4 e_above_lowest_polymorph_kj_per_mol_atoms=79.59 magmom_total_mub_per_cell=0.00 sg=I4_1/amd pbc="T T T"
Sc 5.685 3.790 4.046
Sc 7.580 5.685 1.349
Sc 7.580 1.895 1.349
Sc 9.475 3.790 4.046
Na 3.790 7.580 2.697
Na 3.790 3.790 0.000
Mo 0.000 0.000 0.000
Mo 7.580 3.790 2.697


3.
6
Lattice="-3.748 0.583 2.703 -3.263 3.107 -1.181 -4.176 -1.452 -1.465" Properties=species:S:1:pos:R:3 comment="PBE CrNi4Ir, relaxed" total_energy_ev_per_cell=-41.1 e_above_lowest_polymorph_kj_per_mol_atoms=6.51 magmom_total_mub_per_cell=0.50 sg=F-43m pbc="T T T"
Ni -6.283 0.113 -0.712
Ni -5.827 2.393 -0.570
Ni -6.069 1.131 1.374
Ni -4.194 0.839 0.021
Ir 0.000 0.000 0.000
Cr -8.390 1.678 0.043


4.
5
Lattice="-0.236 2.155 -3.723 0.694 -3.660 -2.163 -4.245 -0.718 -0.147" Properties=species:S:1:pos:R:3 comment="PBE YAl3H, relaxed" total_energy_ev_per_cell=-22.0 e_above_lowest_polymorph_kj_per_mol_atoms=0.00 magmom_total_mub_per_cell=0.00 sg=Pm-3m pbc="T T T"
Al 0.347 -1.830 -1.082
Al -0.118 1.078 -1.861
Al -2.123 -0.359 -0.074
H 0.000 0.000 0.000
Y -1.893 -1.111 -3.016


5.
5
Lattice="-1.418 -1.405 4.477 -2.315 -4.119 -2.026 4.343 -2.700 0.528" Properties=species:S:1:pos:R:3 comment="PBE CeNd2SnC, relaxed" total_energy_ev_per_cell=-31.0 magmom_total_mub_per_cell=0.47 sg=P4/mmm pbc="T T T"
Nd 2.171 -1.350 0.264
Nd -1.157 -2.059 -1.013
Ce -0.709 -0.703 2.238
Sn 0.305 -4.112 1.489
C 0.000 0.000 0.000


6.
4
Lattice="-0.253 3.259 -0.936 -1.369 -0.957 -2.961 -7.921 0.400 3.534" Properties=species:S:1:pos:R:3 comment="PBE SmTm2Ni, relaxed" total_energy_ev_per_cell=-20.3 e_above_lowest_polymorph_kj_per_mol_atoms=0.89 magmom_total_mub_per_cell=0.00 sg=P4/mmm pbc="T T T"
Ni -0.811 1.151 -1.948
Tm -1.450 0.073 0.647
Tm -6.471 0.327 2.887
Sm -4.772 1.351 -0.181


7.
4
Lattice="-1.967 2.585 3.175 -2.027 3.892 -1.175 -4.526 0.343 0.165" Properties=species:S:1:pos:R:3 comment="PBE ZrReIr2, relaxed" total_energy_ev_per_cell=-38.5 e_above_lowest_polymorph_kj_per_mol_atoms=43.81 magmom_total_mub_per_cell=0.59 sg=Fm-3m pbc="T T T"
Re -4.260 3.410 1.083
Zr 0.000 0.000 0.000
Ir -2.130 1.705 0.541
Ir -6.391 5.115 1.624


8.
5
Lattice="-2.892 4.487 2.504 2.425 -1.342 5.205 2.997 2.370 -0.785" Properties=species:S:1:pos:R:3 comment="PBE AlSbTe2N, relaxed" total_energy_ev_per_cell=-18.3 e_above_lowest_polymorph_kj_per_mol_atoms=56.34 magmom_total_mub_per_cell=0.00 sg=P4/mmm raw_formation_energy_ev_per_fu=4.15 pbc="T T T"
Te -1.446 2.243 1.252
Te 1.212 -0.671 2.602
N 1.498 1.185 -0.392
Sb 0.000 0.000 0.000
Al 1.264 2.757 3.462


9.
6
Lattice="0.000 3.338 3.338 3.338 0.000 3.338 3.338 3.338 0.000" Properties=species:S:1:pos:R:3 comment="PBE CoCu4Ru, relaxed" total_energy_ev_per_cell=-30.9 magmom_total_mub_per_cell=2.91 sg=F-43m pbc="T T T"
Cu 2.503 2.503 2.503
Cu 4.173 2.503 4.173
Cu 4.173 4.173 2.503
Cu 2.503 4.173 4.173
Ru 5.007 5.007 5.007
Co 0.000 0.000 0.000


10.
5
Lattice="-4.157 -3.290 0.181 2.613 -3.113 3.409 -2.008 2.761 4.060" Properties=species:S:1:pos:R:3 comment="PBE YTm3Cu, relaxed" total_energy_ev_per_cell=-23.4 magmom_total_mub_per_cell=0.00 sg=Pm-3m pbc="T T T"
Y -1.776 -1.821 3.825
Cu 0.000 0.000 0.000
Tm -2.078 -1.645 0.091
Tm 1.306 -1.556 1.705
Tm -1.004 1.380 2.030


11.
10
Lattice="-0.525 -2.968 6.652 -1.373 -6.509 -3.013 4.014 -5.756 1.757" Properties=species:S:1:pos:R:3 comment="PBE Rb2PdBr6N, relaxed" total_energy_ev_per_cell=-29.1 magmom_total_mub_per_cell=0.00 sg=I4/mmm raw_formation_energy_ev_per_fu=-3.58 pbc="T T T"
Br -1.158 -5.614 -0.570
Br -0.739 -3.863 4.209
Br 0.664 -10.003 3.606
Br -1.418 -7.082 2.719
Br 1.452 -5.231 1.789
Br -0.480 -2.396 0.920
N -0.949 -4.739 1.819
Rb 1.270 -6.732 5.114
Rb 0.846 -8.502 0.282
Pd 0.000 0.000 0.000


12.
10
Lattice="6.239 0.000 -0.431 0.000 5.019 0.000 -4.033 -2.510 7.494" Properties=species:S:1:pos:R:3 comment="PBE LiTmHg3, relaxed" total_energy_ev_per_cell=-17.6 e_above_lowest_polymorph_kj_per_mol_atoms=5.65 magmom_total_mub_per_cell=0.00 sg=C2/m pbc="T T T"
Li 2.102 0.000 2.841
Li 0.104 2.510 4.222
Hg 1.629 0.000 0.069
Hg -0.870 0.000 2.963
Hg 3.076 2.510 4.100
Hg 0.577 2.510 6.993
Hg 0.969 2.510 1.572
Hg 1.237 0.000 5.491
Tm 4.111 2.510 1.210
Tm -1.905 0.000 5.853